A PBEsol-optimized structure of TcSeIO2. Source: Alexandria, functional meta-GGA SCAN.

Total moment ... 3.46 μB/f.u.
Energy relative to the elements, uncorrected ... 0.570 eV/atom

abc: 3.8388 3.8388 6.1191
angles: 90.00 90.00 90.00
Sites, in units of the cell vectors:
1 Tc 0.0000 0.0000 0.0000
2 Se 0.5000 0.5000 0.5000
3 I 0.5000 0.5000 0.0000
4 O 0.0000 0.5000 0.5000
5 O 0.5000 0.0000 0.5000